# 1
A plane-wave DFT calculation with PBE-GGA was carried out for an optimized crystal structure of CaZn2Cu9.

Energy relative to the elements ... 55 meV/atom
Magnetic moment ... 0.00 μB per formula unit
SG ... P6/mmm (191)
D(E_F) ... 0.30 states/eV per atom

a b c (Å): 2.729 8.355 8.355
angles (deg): 120.00 90.00 90.00
Fractional positions:
Cu 0.000 0.500 0.000
Cu 0.500 0.184 0.816
Zn 0.000 0.667 0.333
Ca 0.000 0.000 0.000
Cu 0.500 0.184 0.367
Cu 0.500 0.633 0.816
Cu 0.000 0.500 0.500
Zn 0.000 0.333 0.667
Cu 0.000 0.000 0.500
Cu 0.500 0.816 0.633
Cu 0.500 0.816 0.184
Cu 0.500 0.367 0.184


# 2
A plane-wave DFT calculation with PBE-GGA was carried out for an optimized crystal structure of CaZn8Cu4.

Energy relative to the elements ... -160 meV/atom
Magnetic moment ... 0.00 μB per formula unit
SG ... I4/mmm (139)
D(E_F) ... 0.49 states/eV per atom

a b c (Å): 4.980 6.746 6.746
angles (deg): 82.17 68.34 68.34
Fractional positions:
Cu 0.500 0.500 0.000
Zn 0.500 0.223 0.777
Zn 0.349 0.651 0.651
Zn 0.277 0.223 0.223
Cu 0.000 0.000 0.500
Zn 0.000 0.651 0.349
Zn 0.651 0.349 0.349
Cu 0.500 0.000 0.500
Zn 0.723 0.777 0.777
Ca 0.000 0.000 0.000
Zn 0.500 0.777 0.223
Zn 0.000 0.349 0.651
Cu 0.000 0.500 0.000


# 3
A plane-wave DFT calculation with PBE-GGA was carried out for an optimized crystal structure of Ca4Zn3Cu.

Energy relative to the elements ... -222 meV/atom
Magnetic moment ... 0.00 μB per formula unit
SG ... Pmm2 (25)
D(E_F) ... 0.67 states/eV per atom

a b c (Å): 4.121 4.461 11.278
angles (deg): 90.00 90.00 90.00
Fractional positions:
Zn 0.500 0.000 0.941
Ca 0.500 0.000 0.648
Cu 0.500 0.500 0.059
Ca 0.000 0.500 0.861
Ca 0.000 0.000 0.143
Zn 0.000 0.500 0.564
Ca 0.500 0.500 0.350
Zn 0.000 0.000 0.434


# 4
A plane-wave DFT calculation with PBE-GGA was carried out for an optimized crystal structure of CaZn2Cu2.

Energy relative to the elements ... -55 meV/atom
Magnetic moment ... 0.00 μB per formula unit
SG ... P4/mbm (127)
D(E_F) ... 0.42 states/eV per atom

a b c (Å): 7.570 7.570 2.831
angles (deg): 90.00 90.00 90.00
Fractional positions:
Ca 0.000 0.000 0.000
Cu 0.172 0.672 0.500
Zn 0.377 0.877 0.000
Ca 0.500 0.500 0.000
Cu 0.828 0.328 0.500
Zn 0.623 0.123 0.000
Zn 0.877 0.623 0.000
Cu 0.672 0.828 0.500
Zn 0.123 0.377 0.000
Cu 0.328 0.172 0.500


# 5
A plane-wave DFT calculation with PBE-GGA was carried out for an optimized crystal structure of Ca2Zn2Cu15.

Energy relative to the elements ... -100 meV/atom
Magnetic moment ... 0.00 μB per formula unit
SG ... R-3m (166)
D(E_F) ... 0.36 states/eV per atom

a b c (Å): 6.522 6.522 6.522
angles (deg): 82.97 82.97 82.97
Fractional positions:
Cu 0.000 0.500 0.000
Cu 0.000 0.298 0.702
Cu 0.298 0.000 0.702
Cu 0.298 0.702 0.000
Ca 0.347 0.347 0.347
Ca 0.653 0.653 0.653
Cu 0.500 0.000 0.000
Cu 0.657 0.153 0.657
Cu 0.343 0.847 0.343
Cu 0.702 0.298 0.000
Cu 0.343 0.343 0.847
Zn 0.900 0.900 0.900
Cu 0.702 0.000 0.298
Cu 0.847 0.343 0.343
Cu 0.153 0.657 0.657
Cu 0.000 0.000 0.500
Cu 0.000 0.702 0.298
Cu 0.657 0.657 0.153
Zn 0.100 0.100 0.100


# 6
A plane-wave DFT calculation with PBE-GGA was carried out for an optimized crystal structure of CaZn7Cu5.

Energy relative to the elements ... -151 meV/atom
Magnetic moment ... 0.00 μB per formula unit
SG ... Imm2 (44)
D(E_F) ... 0.41 states/eV per atom

a b c (Å): 4.984 6.706 6.706
angles (deg): 82.26 68.18 68.18
Fractional positions:
Zn 0.350 0.650 0.650
Ca 0.007 0.993 0.993
Cu 0.727 0.773 0.773
Cu 0.999 0.001 0.501
Zn 0.654 0.346 0.346
Zn 0.501 0.215 0.782
Zn 0.994 0.355 0.657
Cu 0.499 0.001 0.501
Zn 0.276 0.224 0.224
Cu 0.999 0.501 0.001
Zn 0.994 0.657 0.355
Cu 0.499 0.501 0.001
Zn 0.501 0.782 0.215


# 7
A plane-wave DFT calculation with PBE-GGA was carried out for an optimized crystal structure of Ca6ZnCu.

Energy relative to the elements ... -70 meV/atom
Magnetic moment ... 0.00 μB per formula unit
SG ... I4/mmm (139)
D(E_F) ... 1.03 states/eV per atom

a b c (Å): 5.253 5.253 10.168
angles (deg): 75.03 75.03 90.00
Fractional positions:
Ca 0.408 0.908 0.185
Ca 0.749 0.749 0.502
Zn 0.500 0.500 0.000
Ca 0.251 0.251 0.498
Ca 0.592 0.092 0.815
Cu 0.000 0.000 0.000
Ca 0.093 0.592 0.815
Ca 0.907 0.408 0.185


# 8
A plane-wave DFT calculation with PBE-GGA was carried out for an optimized crystal structure of Ca2Zn12Cu5.

Energy relative to the elements ... -180 meV/atom
Magnetic moment ... 0.00 μB per formula unit
SG ... R-3m (166)
D(E_F) ... 0.32 states/eV per atom

a b c (Å): 6.723 6.723 6.723
angles (deg): 83.46 83.46 83.46
Fractional positions:
Zn 0.710 0.290 0.000
Cu 0.000 0.000 0.500
Zn 0.345 0.345 0.858
Cu 0.500 0.000 0.000
Zn 0.655 0.142 0.655
Cu 0.899 0.899 0.899
Cu 0.101 0.101 0.101
Cu 0.000 0.500 0.000
Zn 0.655 0.655 0.142
Zn 0.142 0.655 0.655
Zn 0.290 0.710 0.000
Ca 0.340 0.340 0.340
Zn 0.000 0.710 0.290
Zn 0.000 0.290 0.710
Zn 0.858 0.345 0.345
Zn 0.290 0.000 0.710
Ca 0.660 0.660 0.660
Zn 0.345 0.858 0.345
Zn 0.710 0.000 0.290


# 9
A plane-wave DFT calculation with PBE-GGA was carried out for an optimized crystal structure of CaZn8Cu2.

Energy relative to the elements ... 172 meV/atom
Magnetic moment ... 0.00 μB per formula unit
SG ... P4/mmm (123)
D(E_F) ... 0.30 states/eV per atom

a b c (Å): 5.182 5.182 8.783
angles (deg): 90.00 90.00 90.00
Fractional positions:
Zn 0.751 0.249 0.798
Zn 0.249 0.249 0.202
Zn 0.751 0.249 0.202
Zn 0.249 0.249 0.798
Zn 0.751 0.751 0.798
Zn 0.751 0.751 0.202
Ca 0.500 0.500 0.500
Zn 0.249 0.751 0.798
Cu 0.500 0.000 0.000
Cu 0.000 0.500 0.000
Zn 0.249 0.751 0.202


# 10
A plane-wave DFT calculation with PBE-GGA was carried out for an optimized crystal structure of Ca2Zn3Cu2.

Energy relative to the elements ... -231 meV/atom
Magnetic moment ... 0.00 μB per formula unit
SG ... C2/m (12)
D(E_F) ... 0.34 states/eV per atom

a b c (Å): 4.139 5.566 7.165
angles (deg): 115.47 90.00 111.83
Fractional positions:
Cu 0.870 0.741 0.803
Zn 0.500 0.000 0.000
Zn 0.354 0.708 0.568
Zn 0.646 0.292 0.432
Ca 0.139 0.277 0.765
Ca 0.861 0.723 0.235
Cu 0.130 0.259 0.197


# 11
A plane-wave DFT calculation with PBE-GGA was carried out for an optimized crystal structure of CaZn2Cu2.

Energy relative to the elements ... -163 meV/atom
Magnetic moment ... 0.00 μB per formula unit
SG ... I4/mmm (139)
D(E_F) ... 0.43 states/eV per atom

a b c (Å): 4.124 4.124 6.032
angles (deg): 70.01 70.01 90.00
Fractional positions:
Cu 0.386 0.386 0.227
Zn 0.250 0.750 0.500
Zn 0.750 0.250 0.500
Cu 0.614 0.614 0.773
Ca 0.000 0.000 0.000


# 12
A plane-wave DFT calculation with PBE-GGA was carried out for an optimized crystal structure of CaZn2Cu2.

Energy relative to the elements ... -58 meV/atom
Magnetic moment ... 0.00 μB per formula unit
SG ... P4/mbm (127)
D(E_F) ... 0.41 states/eV per atom

a b c (Å): 7.479 7.479 2.930
angles (deg): 90.00 90.00 90.00
Fractional positions:
Cu 0.373 0.873 0.000
Cu 0.873 0.627 0.000
Cu 0.627 0.127 0.000
Zn 0.838 0.338 0.500
Ca 0.500 0.500 0.000
Ca 0.000 0.000 0.000
Zn 0.662 0.838 0.500
Cu 0.127 0.373 0.000
Zn 0.338 0.162 0.500
Zn 0.162 0.662 0.500


# 13
A plane-wave DFT calculation with PBE-GGA was carried out for an optimized crystal structure of Ca2ZnCu3.

Energy relative to the elements ... -153 meV/atom
Magnetic moment ... 0.00 μB per formula unit
SG ... Fmmm (69)
D(E_F) ... 0.43 states/eV per atom

a b c (Å): 5.766 5.766 8.365
angles (deg): 108.02 108.02 95.87
Fractional positions:
Cu 0.166 0.166 0.331
Ca 0.247 0.247 0.000
Ca 0.750 0.250 0.500
Cu 0.669 0.166 0.834
Zn 0.333 0.333 0.666
Zn 0.667 0.667 0.334
Cu 0.166 0.669 0.834
Cu 0.834 0.331 0.166
Cu 0.834 0.834 0.669
Ca 0.753 0.753 0.000
Ca 0.250 0.750 0.500
Cu 0.331 0.834 0.166


# 14
A plane-wave DFT calculation with PBE-GGA was carried out for an optimized crystal structure of CaZn9Cu2.

Energy relative to the elements ... -92 meV/atom
Magnetic moment ... 0.00 μB per formula unit
SG ... P6/mmm (191)
D(E_F) ... 0.13 states/eV per atom

a b c (Å): 3.068 8.482 8.482
angles (deg): 120.00 90.00 90.00
Fractional positions:
Zn 0.500 0.188 0.376
Zn 0.500 0.624 0.812
Cu 0.000 0.333 0.667
Zn 0.500 0.188 0.812
Zn 0.500 0.376 0.188
Zn 0.500 0.812 0.624
Zn 0.500 0.812 0.188
Zn 0.000 0.000 0.500
Cu 0.000 0.667 0.333
Zn 0.000 0.500 0.000
Ca 0.000 0.000 0.000
Zn 0.000 0.500 0.500


# 15
A plane-wave DFT calculation with PBE-GGA was carried out for an optimized crystal structure of CaZn6Cu12.

Energy relative to the elements ... 56 meV/atom
Magnetic moment ... 0.00 μB per formula unit
SG ... R-3m (166)
D(E_F) ... 0.42 states/eV per atom

a b c (Å): 6.776 6.776 6.776
angles (deg): 103.02 103.02 103.02
Fractional positions:
Zn 0.714 0.714 0.304
Cu 0.890 0.500 0.110
Cu 0.500 0.890 0.110
Cu 0.624 0.624 0.885
Zn 0.304 0.714 0.714
Ca 0.000 0.000 0.000
Cu 0.376 0.115 0.376
Zn 0.714 0.304 0.714
Cu 0.115 0.376 0.376
Zn 0.286 0.696 0.286
Zn 0.286 0.286 0.696
Cu 0.110 0.890 0.500
Cu 0.624 0.885 0.624
Cu 0.885 0.624 0.624
Cu 0.890 0.110 0.500
Cu 0.110 0.500 0.890
Cu 0.376 0.376 0.115
Cu 0.500 0.110 0.890
Zn 0.696 0.286 0.286


# 16
A plane-wave DFT calculation with PBE-GGA was carried out for an optimized crystal structure of Ca2Zn4Cu5.

Energy relative to the elements ... -160 meV/atom
Magnetic moment ... 0.00 μB per formula unit
SG ... Fmmm (69)
D(E_F) ... 0.41 states/eV per atom

a b c (Å): 5.400 5.290 8.241
angles (deg): 80.37 70.88 59.31
Fractional positions:
Ca 0.867 0.000 0.266
Cu 0.250 0.500 0.500
Zn 0.213 0.317 0.257
Cu 0.500 0.500 0.000
Zn 0.470 0.317 0.743
Cu 0.750 0.500 0.500
Zn 0.530 0.683 0.257
Cu 0.500 0.000 0.000
Cu 0.000 0.500 0.000
Ca 0.133 0.000 0.734
Zn 0.787 0.683 0.743


# 17
A plane-wave DFT calculation with PBE-GGA was carried out for an optimized crystal structure of CaZn6Cu4.

Energy relative to the elements ... -46 meV/atom
Magnetic moment ... 0.00 μB per formula unit
SG ... I-42m (121)
D(E_F) ... 0.38 states/eV per atom

a b c (Å): 6.427 6.427 6.427
angles (deg): 90.10 119.94 119.94
Fractional positions:
Cu 0.317 0.737 0.737
Zn 0.391 0.494 0.494
Zn 0.609 0.103 0.103
Zn 0.500 0.000 0.500
Zn 0.000 0.897 0.506
Cu 0.000 0.263 0.580
Zn 0.500 0.500 0.000
Cu 0.683 0.420 0.420
Cu 0.000 0.580 0.263
Zn 0.000 0.506 0.897
Ca 0.000 0.000 0.000


# 18
A plane-wave DFT calculation with PBE-GGA was carried out for an optimized crystal structure of CaZn2Cu9.

Energy relative to the elements ... -82 meV/atom
Magnetic moment ... 0.00 μB per formula unit
SG ... I4_1/amd (141)
D(E_F) ... 0.34 states/eV per atom

a b c (Å): 6.584 7.904 7.904
angles (deg): 80.01 65.38 65.39
Fractional positions:
Cu 0.750 0.500 0.500
Ca 0.250 0.500 0.500
Zn 0.875 0.250 0.250
Ca 0.500 0.000 0.000
Cu 0.433 0.831 0.415
Cu 0.071 0.915 0.331
Cu 0.000 0.000 0.000
Zn 0.875 0.750 0.250
Cu 0.598 0.331 0.085
Cu 0.013 0.915 0.669
Cu 0.013 0.669 0.915
Cu 0.433 0.415 0.831
Cu 0.317 0.085 0.669
Zn 0.875 0.250 0.750
Zn 0.375 0.750 0.750
Cu 0.737 0.585 0.831
Cu 0.679 0.169 0.585
Cu 0.152 0.169 0.415
Cu 0.598 0.085 0.331
Cu 0.317 0.669 0.085
Cu 0.737 0.831 0.585
Cu 0.071 0.331 0.915
Cu 0.679 0.585 0.169
Cu 0.152 0.415 0.169


# 19
A plane-wave DFT calculation with PBE-GGA was carried out for an optimized crystal structure of Ca2Zn5Cu.

Energy relative to the elements ... -211 meV/atom
Magnetic moment ... 0.00 μB per formula unit
SG ... Cmcm (63)
D(E_F) ... 0.48 states/eV per atom

a b c (Å): 4.377 8.324 9.039
angles (deg): 90.00 90.00 105.24
Fractional positions:
Ca 0.198 0.395 0.250
Zn 0.650 0.300 0.025
Zn 0.597 0.194 0.750
Ca 0.802 0.605 0.750
Zn 0.187 0.373 0.610
Zn 0.813 0.627 0.110
Zn 0.813 0.627 0.390
Zn 0.650 0.300 0.475
Zn 0.350 0.700 0.975
Zn 0.350 0.700 0.525
Ca 0.000 0.000 0.500
Cu 0.559 0.118 0.250
Zn 0.403 0.806 0.250
Cu 0.441 0.882 0.750
Ca 0.000 0.000 0.000
Zn 0.187 0.373 0.890


# 20
A plane-wave DFT calculation with PBE-GGA was carried out for an optimized crystal structure of Ca2ZnCu.

Energy relative to the elements ... -83 meV/atom
Magnetic moment ... 0.00 μB per formula unit
SG ... P4mm (99)
D(E_F) ... 0.53 states/eV per atom

a b c (Å): 3.462 3.462 8.169
angles (deg): 90.00 90.00 90.00
Fractional positions:
Ca 0.000 0.000 0.933
Zn 0.500 0.500 0.689
Cu 0.000 0.000 0.558
Ca 0.500 0.500 0.320